## a
HfMn2Cu2 | PBE | relaxed

Unit cell a=7.095 b=7.095 c=2.925 alpha=90.00 beta=90.00 gamma=90.00
Positions (direct):
Hf 0.000 0.000 0.000
Hf 0.500 0.500 0.000
Mn 0.147 0.353 0.000
Mn 0.353 0.853 0.000
Mn 0.647 0.147 0.000
Mn 0.853 0.647 0.000
Cu 0.147 0.647 0.500
Cu 0.353 0.147 0.500
Cu 0.647 0.853 0.500
Cu 0.853 0.353 0.500

Summary:
The value obtained for the density is 9.37 g cm⁻³. For the density of states at the Fermi level, the calculation gives 4.152 states/eV/f.u. For the total moment, the calculation gives 6.0 μB/f.u.

=====

## b
HfMn2Cu2 | PBE | relaxed

Unit cell a=5.686 b=5.686 c=5.686 alpha=141.47 beta=141.47 gamma=55.63
Positions (direct):
Hf 0.000 0.000 0.000
Mn 0.404 0.404 0.000
Mn 0.596 0.596 0.000
Cu 0.250 0.750 0.500
Cu 0.750 0.250 0.500

Summary:
The value obtained for the density is 9.74 g cm⁻³. For the density of states at the Fermi level, the calculation gives 2.572 states/eV/f.u. For the total moment, the calculation gives 0.0 μB/f.u.

=====

Relative calculated energies, zero for the most stable structure, unit kJ/mol of atoms: a 2.5; b 0.0.